w.
VASP calculation (PBE) on a relaxed structure of Be2TlOs2.

Cell and atoms, written as CIF:
```
data_Be2TlOs2
_space_group_name_H-M_alt 'P 1'
_space_group_IT_number 1
_space_group_name_Hall 'P 1'
_cell_length_a 6.987
_cell_length_b 6.987
_cell_length_c 2.870
_cell_angle_alpha 90.00
_cell_angle_beta 90.00
_cell_angle_gamma 90.00
loop_
_atom_site_label
_atom_site_fract_x
_atom_site_fract_y
_atom_site_fract_z
Be1 0.153 0.347 0.000
Be2 0.347 0.847 0.000
Be3 0.653 0.153 0.000
Be4 0.847 0.653 0.000
Tl1 0.000 0.000 0.500
Tl2 0.500 0.500 0.500
Os1 0.131 0.631 0.500
Os2 0.369 0.131 0.500
Os3 0.631 0.869 0.500
Os4 0.869 0.369 0.500
```

* crystal system: tetragonal
* space group: P4/mbm (127)

x.
VASP calculation (PBE) on a relaxed structure of Be2TlOs2.

Cell and atoms, written as CIF:
```
data_Be2TlOs2
_space_group_name_H-M_alt 'P 1'
_space_group_IT_number 1
_space_group_name_Hall 'P 1'
_cell_length_a 6.477
_cell_length_b 6.477
_cell_length_c 3.115
_cell_angle_alpha 90.00
_cell_angle_beta 90.00
_cell_angle_gamma 90.00
loop_
_atom_site_label
_atom_site_fract_x
_atom_site_fract_y
_atom_site_fract_z
Be1 0.119 0.381 0.000
Be2 0.381 0.881 0.000
Be3 0.619 0.119 0.000
Be4 0.881 0.619 0.000
Tl1 0.000 0.000 0.000
Tl2 0.500 0.500 0.000
Os1 0.160 0.660 0.500
Os2 0.340 0.160 0.500
Os3 0.660 0.840 0.500
Os4 0.840 0.340 0.500
```

* crystal system: tetragonal
* space group: P4/mbm (127)

The energy of each structure relative to the most stable one, in eV/atom, is as follows: w 0.077; x 0.000.

w.
VASP calculation (PBE) on a relaxed structure of Be2TlOs.

Cell and atoms, written as CIF:
```
data_Be2TlOs
_space_group_name_H-M_alt 'P 1'
_space_group_IT_number 1
_space_group_name_Hall 'P 1'
_cell_length_a 8.026
_cell_length_b 8.026
_cell_length_c 8.026
_cell_angle_alpha 21.21
_cell_angle_beta 21.21
_cell_angle_gamma 21.21
loop_
_atom_site_label
_atom_site_fract_x
_atom_site_fract_y
_atom_site_fract_z
Be1 0.237 0.237 0.237
Be2 0.763 0.763 0.763
Tl1 0.000 0.000 0.000
Os1 0.500 0.500 0.500
```

* crystal system: trigonal
* space group: R-3m (166)

x.
VASP calculation (PBE) on a relaxed structure of Be2TlOs.

Cell and atoms, written as CIF:
```
data_Be2TlOs
_space_group_name_H-M_alt 'P 1'
_space_group_IT_number 1
_space_group_name_Hall 'P 1'
_cell_length_a 8.583
_cell_length_b 8.583
_cell_length_c 8.583
_cell_angle_alpha 152.68
_cell_angle_beta 152.68
_cell_angle_gamma 39.02
loop_
_atom_site_label
_atom_site_fract_x
_atom_site_fract_y
_atom_site_fract_z
Be1 0.375 0.156 0.281
Be2 0.844 0.125 0.219
Be3 0.875 0.094 0.719
Be4 0.906 0.625 0.781
Tl1 0.250 0.750 0.500
Tl2 0.500 0.500 0.000
Os1 0.000 0.000 0.000
Os2 0.750 0.250 0.500
```

* crystal system: tetragonal
* space group: I-42d (122)

y.
VASP calculation (PBE) on a relaxed structure of Be2TlOs.

Cell and atoms, written as CIF:
```
data_Be2TlOs
_space_group_name_H-M_alt 'P 1'
_space_group_IT_number 1
_space_group_name_Hall 'P 1'
_cell_length_a 4.847
_cell_length_b 4.847
_cell_length_c 4.847
_cell_angle_alpha 141.06
_cell_angle_beta 126.43
_cell_angle_gamma 68.18
loop_
_atom_site_label
_atom_site_fract_x
_atom_site_fract_y
_atom_site_fract_z
Be1 0.226 0.226 0.000
Be2 0.774 0.774 0.000
Tl1 0.500 0.000 0.500
Os1 0.000 0.500 0.500
```

* crystal system: orthorhombic
* space group: Immm (71)

The energy of each structure relative to the most stable one, in eV/atom, is as follows: w 0.000; x 0.134; y 0.052.

w.
VASP calculation (PBE) on a relaxed structure of Be2TlOs.

Cell and atoms, written as CIF:
```
data_Be2TlOs
_space_group_name_H-M_alt 'P 1'
_space_group_IT_number 1
_space_group_name_Hall 'P 1'
_cell_length_a 3.050
_cell_length_b 3.050
_cell_length_c 6.084
_cell_angle_alpha 90.00
_cell_angle_beta 90.00
_cell_angle_gamma 90.00
loop_
_atom_site_label
_atom_site_fract_x
_atom_site_fract_y
_atom_site_fract_z
Be1 0.000 0.000 0.000
Be2 0.500 0.500 0.195
Tl1 0.500 0.500 0.698
Os1 0.000 0.000 0.353
```

* crystal system: tetragonal
* space group: P4mm (99)

x.
VASP calculation (PBE) on a relaxed structure of Be2TlOs.

Cell and atoms, written as CIF:
```
data_Be2TlOs
_space_group_name_H-M_alt 'P 1'
_space_group_IT_number 1
_space_group_name_Hall 'P 1'
_cell_length_a 3.069
_cell_length_b 3.069
_cell_length_c 5.887
_cell_angle_alpha 90.00
_cell_angle_beta 90.00
_cell_angle_gamma 90.00
loop_
_atom_site_label
_atom_site_fract_x
_atom_site_fract_y
_atom_site_fract_z
Be1 0.000 0.000 0.174
Be2 0.000 0.000 0.826
Tl1 0.500 0.500 0.500
Os1 0.500 0.500 0.000
```

* crystal system: tetragonal
* space group: P4/mmm (123)

The energy of each structure relative to the most stable one, in eV/atom, is as follows: w 0.251; x 0.000.

w.
VASP calculation (PBE) on a relaxed structure of Be3TlOs.

Cell and atoms, written as CIF:
```
data_Be3TlOs
_space_group_name_H-M_alt 'P 1'
_space_group_IT_number 1
_space_group_name_Hall 'P 1'
_cell_length_a 4.333
_cell_length_b 4.333
_cell_length_c 4.333
_cell_angle_alpha 90.00
_cell_angle_beta 90.00
_cell_angle_gamma 90.00
loop_
_atom_site_label
_atom_site_fract_x
_atom_site_fract_y
_atom_site_fract_z
Be1 0.000 0.000 0.500
Be2 0.000 0.500 0.000
Be3 0.500 0.000 0.000
Tl1 0.500 0.500 0.500
Os1 0.000 0.000 0.000
```

* crystal system: cubic
* space group: Pm-3m (221)

x.
VASP calculation (PBE) on a relaxed structure of Be3TlOs.

Cell and atoms, written as CIF:
```
data_Be3TlOs
_space_group_name_H-M_alt 'P 1'
_space_group_IT_number 1
_space_group_name_Hall 'P 1'
_cell_length_a 4.375
_cell_length_b 4.375
_cell_length_c 4.375
_cell_angle_alpha 90.00
_cell_angle_beta 90.00
_cell_angle_gamma 90.00
loop_
_atom_site_label
_atom_site_fract_x
_atom_site_fract_y
_atom_site_fract_z
Be1 0.000 0.000 0.500
Be2 0.000 0.500 0.000
Be3 0.500 0.000 0.000
Tl1 0.000 0.000 0.000
Os1 0.500 0.500 0.500
```

* crystal system: cubic
* space group: Pm-3m (221)

The energy of each structure relative to the most stable one, in eV/atom, is as follows: w 0.000; x 1.281.